(1)
Here is Tb2PmPu after structural relaxation from Alexandria via LeMat-Bulk. Energies are from PBE-GGA.

Summary:
**Energy above the most stable polymorph in this dataset**: 114 meV/atom
**Space group**: No. 225
**Total moment**: 7.0 μB per formula unit
**Energy of formation**: 0.22 eV/atom
**Uncorrected energy**: -6.868 eV/atom

```
Tb2PmPu
1.0
7.977 0.000 0.000
0.000 7.977 0.000
0.000 0.000 7.977
Tb Pm Pu
8 4 4
direct
0.250 0.250 0.250
0.250 0.250 0.750
0.250 0.750 0.250
0.250 0.750 0.750
0.750 0.250 0.250
0.750 0.250 0.750
0.750 0.750 0.250
0.750 0.750 0.750
0.000 0.000 0.000
0.000 0.500 0.500
0.500 0.000 0.500
0.500 0.500 0.000
0.000 0.000 0.500
0.000 0.500 0.000
0.500 0.000 0.000
0.500 0.500 0.500
```

---

(2)
Here is LiTc4Pt after structural relaxation from Alexandria via LeMat-Bulk. Energies are from PBE-GGA.

Summary:
**Space group**: No. 216
**Total moment**: 0.0 μB per formula unit
**Energy of formation**: 0.34 eV/atom
**Uncorrected energy**: -7.892 eV/atom

```
LiTc4Pt
1.0
0.000 3.605 3.605
3.605 0.000 3.605
3.605 3.605 0.000
Li Tc Pt
1 4 1
direct
0.000 0.000 0.000
0.375 0.375 0.375
0.375 0.375 0.876
0.375 0.876 0.375
0.876 0.375 0.375
0.750 0.750 0.750
```

---

(3)
Here is Li2Dy2ScIn2 after structural relaxation from Alexandria via LeMat-Bulk. Energies are from PBE-GGA.

Summary:
**Space group**: No. 166
**Total moment**: 0.0 μB per formula unit
**Energy of formation**: -0.20 eV/atom
**Uncorrected energy**: -3.752 eV/atom

```
Li2Dy2ScIn2
1.0
2.382 1.375 8.661
-2.382 1.375 8.661
0.000 -2.751 8.661
Li Dy Sc In
2 2 1 2
direct
0.115 0.115 0.115
0.885 0.885 0.885
0.374 0.374 0.374
0.626 0.626 0.626
0.500 0.500 0.500
0.234 0.234 0.234
0.766 0.766 0.766
```

---

(4)
Here is CaMgTlIn after structural relaxation from Alexandria via LeMat-Bulk. Energies are from PBE-GGA.

Summary:
**Space group**: No. 216
**Total moment**: 0.0 μB per formula unit
**Energy of formation**: -0.29 eV/atom
**Uncorrected energy**: -2.467 eV/atom

```
CaMgTlIn
1.0
7.483 0.000 0.000
0.000 7.483 0.000
0.000 0.000 7.483
Ca Mg Tl In
4 4 4 4
direct
0.000 0.000 0.000
0.000 0.500 0.500
0.500 0.000 0.500
0.500 0.500 0.000
0.000 0.000 0.500
0.000 0.500 0.000
0.500 0.000 0.000
0.500 0.500 0.500
0.250 0.250 0.750
0.250 0.750 0.250
0.750 0.250 0.250
0.750 0.750 0.750
0.250 0.250 0.250
0.250 0.750 0.750
0.750 0.250 0.750
0.750 0.750 0.250
```

---

(5)
Here is TlPb3Au2 after structural relaxation from Alexandria via LeMat-Bulk. Energies are from PBE-GGA.

Summary:
**Space group**: No. 12
**Total moment**: 0.0 μB per formula unit
**Energy of formation**: -0.04 eV/atom
**Uncorrected energy**: -3.379 eV/atom

```
TlPb3Au2
1.0
7.938 -2.302 0.000
7.938 2.302 0.000
-7.390 0.000 9.033
Tl Pb Au
2 6 4
direct
0.131 0.131 0.219
0.869 0.869 0.781
0.140 0.140 0.724
0.426 0.426 0.070
0.426 0.426 0.562
0.574 0.574 0.438
0.574 0.574 0.930
0.860 0.860 0.276
0.231 0.231 0.068
0.231 0.231 0.564
0.769 0.769 0.436
0.769 0.769 0.932
```

---

(6)
Here is MgAlTlF6 after structural relaxation from Alexandria via LeMat-Bulk. Energies are from PBE-GGA.

Summary:
**Space group**: No. 74
**Total moment**: 0.0 μB per formula unit
**Uncorrected energy**: -5.310 eV/atom
**Raw formation energy**: -3.207 eV/atom

```
MgAlTlF6
1.0
-3.553 3.613 5.047
3.553 -3.613 5.047
3.553 3.613 -5.047
Mg Al Tl F
2 2 2 12
direct
0.000 0.000 0.000
0.500 0.000 0.500
0.500 0.000 0.000
0.500 0.500 0.500
0.104 0.354 0.750
0.896 0.646 0.250
0.166 0.916 0.250
0.200 0.332 0.275
0.200 0.924 0.867
0.443 0.076 0.775
0.443 0.668 0.367
0.448 0.698 0.750
0.552 0.302 0.250
0.557 0.332 0.633
0.557 0.924 0.225
0.800 0.076 0.133
0.800 0.668 0.725
0.834 0.084 0.750
```

---

(7)
Here is YCdIn after structural relaxation from Alexandria via LeMat-Bulk. Energies are from PBE-GGA.

Summary:
**Space group**: No. 12
**Total moment**: 0.0 μB per formula unit
**Energy of formation**: -0.34 eV/atom
**Uncorrected energy**: -3.715 eV/atom

```
YCdIn
1.0
12.103 0.000 0.000
0.000 3.774 0.000
-4.648 0.000 6.779
Y Cd In
4 4 4
direct
0.088 0.000 0.321
0.412 0.500 0.679
0.588 0.500 0.321
0.912 0.000 0.679
0.140 0.500 0.036
0.360 0.000 0.964
0.640 0.000 0.036
0.860 0.500 0.964
0.145 0.500 0.676
0.355 0.000 0.324
0.645 0.000 0.676
0.855 0.500 0.324
```

---

(8)
Here is SrPm5Tl3 after structural relaxation from Alexandria via LeMat-Bulk. Energies are from PBE-GGA.

Summary:
**Space group**: No. 193
**Total moment**: 0.6 μB per formula unit
**Energy of formation**: -0.27 eV/atom
**Uncorrected energy**: -3.883 eV/atom

```
SrPm5Tl3
1.0
9.646 0.000 0.000
-4.823 8.354 0.000
0.000 0.000 7.018
Sr Pm Tl
2 10 6
direct
0.000 0.000 0.000
0.000 0.000 0.500
0.000 0.340 0.250
0.000 0.660 0.750
0.333 0.667 0.000
0.333 0.667 0.500
0.340 0.000 0.250
0.340 0.340 0.750
0.660 0.000 0.750
0.660 0.660 0.250
0.667 0.333 0.000
0.667 0.333 0.500
0.000 0.331 0.750
0.000 0.669 0.250
0.331 0.000 0.750
0.331 0.331 0.250
0.669 0.000 0.250
0.669 0.669 0.750
```

---

(9)
Here is SmTm3Te2 after structural relaxation from Alexandria via LeMat-Bulk. Energies are from PBE-GGA.

Summary:
**Space group**: No. 12
**Total moment**: 0.0 μB per formula unit
**Uncorrected energy**: -4.896 eV/atom
**Raw formation energy**: -0.827 eV/atom

```
SmTm3Te2
1.0
8.140 -2.050 0.000
8.140 2.050 0.000
-3.748 0.000 10.634
Sm Tm Te
2 6 4
direct
0.119 0.119 0.046
0.881 0.881 0.954
0.060 0.060 0.405
0.284 0.284 0.621
0.376 0.376 0.340
0.624 0.624 0.660
0.716 0.716 0.379
0.940 0.940 0.595
0.228 0.228 0.855
0.484 0.484 0.828
0.516 0.516 0.172
0.772 0.772 0.145
```

---

(10)
Here is LiLaW after structural relaxation from Alexandria via LeMat-Bulk. Energies are from PBE-GGA.

Summary:
**Energy above the most stable polymorph in this dataset**: 874 meV/atom
**Space group**: No. 216
**Total moment**: 2.1 μB per formula unit
**Energy of formation**: 1.54 eV/atom
**Uncorrected energy**: -5.062 eV/atom

```
LiLaW
1.0
6.724 0.000 0.000
0.000 6.724 0.000
0.000 0.000 6.724
Li La W
4 4 4
direct
0.000 0.000 0.000
0.000 0.500 0.500
0.500 0.000 0.500
0.500 0.500 0.000
0.250 0.250 0.250
0.250 0.750 0.750
0.750 0.250 0.750
0.750 0.750 0.250
0.000 0.000 0.500
0.000 0.500 0.000
0.500 0.000 0.000
0.500 0.500 0.500
```

---

(11)
Here is Tb2GaNi2 after structural relaxation from Alexandria via LeMat-Bulk. Energies are from PBE-GGA.

Summary:
**Space group**: No. 71
**Total moment**: 0.0 μB per formula unit
**Energy of formation**: -0.56 eV/atom
**Uncorrected energy**: -5.334 eV/atom

```
Tb2GaNi2
1.0
4.194 0.000 0.000
0.000 5.382 0.000
0.000 0.000 8.310
Tb Ga Ni
4 2 4
direct
0.000 0.000 0.202
0.000 0.000 0.798
0.500 0.500 0.298
0.500 0.500 0.702
0.000 0.500 0.000
0.500 0.000 0.500
0.000 0.268 0.500
0.000 0.732 0.500
0.500 0.232 0.000
0.500 0.768 0.000
```

---

(12)
Here is ErTm4Sc6 after structural relaxation from Alexandria via LeMat-Bulk. Energies are from PBE-GGA.

Summary:
**Energy above the most stable polymorph in this dataset**: 0 meV/atom
**Space group**: No. 63
**Total moment**: 0.0 μB per formula unit
**Energy of formation**: 0.13 eV/atom
**Uncorrected energy**: -5.369 eV/atom

```
ErTm4Sc6
1.0
2.661 -4.609 0.000
2.661 4.609 0.000
0.000 0.000 24.250
Er Tm Sc
2 8 12
direct
0.166 0.834 0.750
0.834 0.166 0.250
0.167 0.833 0.041
0.167 0.833 0.459
0.500 0.500 0.123
0.500 0.500 0.377
0.500 0.500 0.623
0.500 0.500 0.877
0.833 0.167 0.541
0.833 0.167 0.959
0.166 0.834 0.603
0.166 0.834 0.897
0.167 0.833 0.183
0.167 0.833 0.317
0.500 0.500 0.000
0.500 0.500 0.250
0.500 0.500 0.500
0.500 0.500 0.750
0.833 0.167 0.683
0.833 0.167 0.817
0.834 0.166 0.103
0.834 0.166 0.397
```